DFT (GGA-PBEsol) results for a relaxed CaCrAg2Pt crystal.

Values from the calculation:
* symmetry: P4/mmm, No. 123
* calculated formation energy: 0.442 eV per atom

Unit cell a=4.615 b=5.094 c=5.094 alpha=90.00 beta=90.00 gamma=90.00
Fractional positions:
Ca1 0.500 0.500 0.500
Pt1 0.000 0.000 0.000
Cr1 0.500 0.000 0.000
Ag1 0.000 0.000 0.500
Ag2 0.000 0.500 0.000